Record 1
The following is a PBE calculation of a relaxed BaCaBi2 crystal, from the Alexandria database.

Cell and atoms, written as POSCAR:
```
BaCaBi2
1.0
4.081 0.000 0.000
0.000 3.958 4.894
0.000 -3.958 4.894
Ba Ca Bi
1 1 2
Direct
0.000 0.000 0.000
0.500 0.538 0.538
0.500 0.045 0.494
0.500 0.494 0.045
```

Computed properties:
Energy relative to the elements ... -0.6093 eV/atom
Space-group type ... Amm2, No. 38
Electronic total energy ... -14.123 eV for the cell shown
Relative energy among the computed polymorphs ... 0.50 eV/f.u.
Crystal system ... orthorhombic

=====

Record 2
The following is a PBE calculation of a relaxed Ba2CaBi2 crystal, from the Alexandria database.

Cell and atoms, written as POSCAR:
```
Ba2CaBi2
1.0
2.600 -9.753 0.000
2.600 9.753 0.000
0.000 0.000 8.889
Ba Ca Bi
4 2 4
Direct
0.037 0.963 0.500
0.202 0.798 0.159
0.798 0.202 0.659
0.963 0.037 0.000
0.404 0.596 0.348
0.596 0.404 0.848
0.177 0.823 0.756
0.438 0.562 0.707
0.562 0.438 0.207
0.823 0.177 0.256
```

Computed properties:
Energy relative to the elements ... -0.9225 eV/atom
Space-group type ... Cmc2_1, No. 36
Electronic total energy ... -36.443 eV for the cell shown
Relative energy among the computed polymorphs ... 0.00 eV/f.u.
Crystal system ... orthorhombic

=====

Record 3
The following is a PBE calculation of a relaxed Ba2CaBi crystal, from the Alexandria database.

Cell and atoms, written as POSCAR:
```
Ba2CaBi
1.0
2.543 1.468 10.190
-2.543 1.468 10.190
0.000 -2.936 10.190
Ba Ca Bi
2 1 1
Direct
0.000 0.000 0.000
0.211 0.211 0.211
0.441 0.441 0.441
0.604 0.604 0.604
```

Computed properties:
Energy relative to the elements ... -0.3488 eV/atom
Space-group type ... R3m, No. 160
Electronic total energy ... -11.123 eV for the cell shown
Crystal system ... trigonal

=====

Record 4
The following is a PBE calculation of a relaxed BaCa4Bi4 crystal, from the Alexandria database.

Cell and atoms, written as POSCAR:
```
BaCa4Bi4
1.0
10.663 0.000 0.000
0.000 10.663 0.000
0.000 0.000 6.510
Ba Ca Bi
2 8 8
Direct
0.250 0.250 0.250
0.750 0.750 0.750
0.099 0.636 0.178
0.136 0.901 0.678
0.364 0.599 0.678
0.401 0.864 0.178
0.599 0.136 0.822
0.636 0.401 0.322
0.864 0.099 0.322
0.901 0.364 0.822
0.060 0.606 0.682
0.106 0.940 0.182
0.394 0.560 0.182
0.440 0.894 0.682
0.560 0.106 0.318
0.606 0.440 0.818
0.894 0.060 0.818
0.940 0.394 0.318
```

Computed properties:
Energy relative to the elements ... -0.6839 eV/atom
Space-group type ... P4_2/n, No. 86
Electronic total energy ... -63.217 eV for the cell shown
Crystal system ... tetragonal

=====

Record 5
The following is a PBE calculation of a relaxed BaCaBi2 crystal, from the Alexandria database.

Cell and atoms, written as POSCAR:
```
BaCaBi2
1.0
5.554 0.000 0.000
0.000 5.554 0.000
0.000 0.000 4.669
Ba Ca Bi
1 1 2
Direct
0.000 0.000 0.000
0.500 0.500 0.000
0.000 0.500 0.500
0.500 0.000 0.500
```

Computed properties:
Energy relative to the elements ... -0.7035 eV/atom
Space-group type ... P4/mmm, No. 123
Electronic total energy ... -14.500 eV for the cell shown
Relative energy among the computed polymorphs ... 0.12 eV/f.u.
Crystal system ... tetragonal

=====

Record 6
The following is a PBE calculation of a relaxed Ba2Ca3Bi4 crystal, from the Alexandria database.

Cell and atoms, written as POSCAR:
```
Ba2Ca3Bi4
1.0
3.711 -9.362 0.000
3.711 9.362 0.000
0.000 0.000 9.597
Ba Ca Bi
4 6 8
Direct
0.113 0.887 0.910
0.387 0.613 0.410
0.613 0.387 0.590
0.887 0.113 0.090
0.000 0.000 0.500
0.042 0.458 0.750
0.458 0.042 0.250
0.500 0.500 0.000
0.542 0.958 0.750
0.958 0.542 0.250
0.191 0.809 0.553
0.211 0.289 0.750
0.289 0.211 0.250
0.309 0.691 0.053
0.691 0.309 0.947
0.711 0.789 0.750
0.789 0.711 0.250
0.809 0.191 0.447
```

Computed properties:
Energy relative to the elements ... -0.8544 eV/atom
Space-group type ... Cmce, No. 64
Electronic total energy ... -66.128 eV for the cell shown
Relative energy among the computed polymorphs ... 0.46 eV/f.u.
Crystal system ... orthorhombic

=====

Record 7
The following is a PBE calculation of a relaxed Ba2CaBi2 crystal, from the Alexandria database.

Cell and atoms, written as POSCAR:
```
Ba2CaBi2
1.0
-4.289 7.104 3.694
4.289 -7.104 3.694
4.289 7.104 -3.694
Ba Ca Bi
4 2 4
Direct
0.144 0.154 0.298
0.356 0.654 0.010
0.644 0.346 0.990
0.856 0.846 0.702
0.250 0.750 0.500
0.750 0.250 0.500
0.112 0.740 0.853
0.388 0.240 0.628
0.612 0.760 0.372
0.888 0.260 0.147
```

Computed properties:
Energy relative to the elements ... -0.8971 eV/atom
Space-group type ... Ibam, No. 72
Electronic total energy ... -36.189 eV for the cell shown
Relative energy among the computed polymorphs ... 0.13 eV/f.u.
Crystal system ... orthorhombic

=====

Record 8
The following is a PBE calculation of a relaxed BaCaBi2 crystal, from the Alexandria database.

Cell and atoms, written as POSCAR:
```
BaCaBi2
1.0
3.922 0.000 0.000
0.000 3.922 0.000
0.000 0.000 9.185
Ba Ca Bi
1 1 2
Direct
0.000 0.000 0.000
0.000 0.000 0.500
0.500 0.500 0.272
0.500 0.500 0.728
```

Computed properties:
Energy relative to the elements ... -0.7337 eV/atom
Space-group type ... P4/mmm, No. 123
Electronic total energy ... -14.621 eV for the cell shown
Relative energy among the computed polymorphs ... 0.00 eV/f.u.
Crystal system ... tetragonal